(1)
Entry from Alexandria via LeMat-Bulk: an optimized crystal structure of Ni2Au (GGA-PBE).

Unit cell a=10.0334 b=2.7913 c=5.9948 alpha=90.00 beta=107.07 gamma=90.00
Space group C2/m (No. 12)
Asymmetric unit:
Ni  0.1700  0.0000  0.0581 [4 per cell]
Ni  0.1945  0.0000  0.6225 [4 per cell]
Au  0.0162  0.5000  0.2705 [4 per cell]

Fermi-level density of states: 19.91 states/eV/cell


(2)
Entry from Alexandria via LeMat-Bulk: an optimized crystal structure of Ni3Au (GGA-PBE).

Unit cell a=8.3141 b=8.3141 c=2.6070 alpha=90.00 beta=90.00 gamma=120.00
Space group R-3m (No. 166, hexagonal axes)
Asymmetric unit:
Ni  0.0000  0.5000  0.0000 [9 per cell]
Au  0.0000  0.0000  0.0000 [3 per cell]

Fermi-level density of states: 27.61 states/eV/cell


Let's list formation energy from the elements in order: 0.36 0.96 eV per formula unit.